DFT (GGA-PBE) results for crystalline PaH2O at its relaxed geometry.

Computed properties:
E_tot: -6.48 eV/atom
V: 144.3 Å³/cell
size of the total moment: 0.252 μB per atom

```
data_PaH2O
_space_group_name_H-M_alt 'F m -3 m'
_space_group_IT_number 225
_space_group_name_Hall '-F 4 2 3'
_cell_length_a 5.245
_cell_length_b 5.245
_cell_length_c 5.245
_cell_angle_alpha 90.00
_cell_angle_beta 90.00
_cell_angle_gamma 90.00
loop_
_atom_site_label
_atom_site_type_symbol
_atom_site_fract_x
_atom_site_fract_y
_atom_site_fract_z
Pa1 Pa 0.000 0.000 0.000
H1 H 0.250 0.250 0.250
O1 O 0.000 0.000 0.500
```